(1)
{"formula": "Zn2SnAu2", "functional": "meta-GGA SCAN", "state": "PBEsol geometry", "lattice_angstrom": [[7.760, 0.000, 0.000], [0.000, 7.760, 0.000], [0.000, 0.000, 2.912]], "species": ["Zn", "Zn", "Zn", "Zn", "Sn", "Sn", "Au", "Au", "Au", "Au"], "frac_coords": [[0.155, 0.345, 0.000], [0.345, 0.845, 0.000], [0.655, 0.155, 0.000], [0.845, 0.655, 0.000], [0.000, 0.000, 0.500], [0.500, 0.500, 0.500], [0.141, 0.641, 0.500], [0.359, 0.141, 0.500], [0.641, 0.859, 0.500], [0.859, 0.359, 0.500]], "spacegroup": "P4/mbm (127)", "total_magnetization_mub_per_fu": 0.00, "dos_ef_per_ev_cell": 3.493, "e_above_lowest_polymorph_ev_per_atom": 0.039, "e_tot_ev_per_atom": -40.387}

---

(2)
{"formula": "Zn2SnAu2", "functional": "meta-GGA SCAN", "state": "PBEsol geometry", "lattice_angstrom": [[-1.874, 1.874, 6.473], [1.874, -1.874, 6.473], [1.874, 1.874, -6.473]], "species": ["Zn", "Zn", "Sn", "Au", "Au"], "frac_coords": [[0.250, 0.750, 0.500], [0.750, 0.250, 0.500], [0.000, 0.000, 0.000], [0.392, 0.392, 0.000], [0.608, 0.608, 0.000]], "spacegroup": "I4/mmm (139)", "total_magnetization_mub_per_fu": 0.00, "dos_ef_per_ev_cell": 1.460, "e_above_lowest_polymorph_ev_per_atom": 0.000, "e_tot_ev_per_atom": -40.426}

---

(3)
{"formula": "ZrSn3Au", "functional": "meta-GGA SCAN", "state": "PBEsol geometry", "lattice_angstrom": [[5.440, 0.000, 0.000], [0.000, 5.440, 0.000], [0.000, 0.000, 5.440]], "species": ["Zr", "Sn", "Sn", "Sn", "Au"], "frac_coords": [[0.000, 0.000, 0.000], [0.000, 0.000, 0.500], [0.000, 0.500, 0.000], [0.500, 0.000, 0.000], [0.500, 0.500, 0.500]], "spacegroup": "Pm-3m (221)", "total_magnetization_mub_per_fu": 0.00, "dos_ef_per_ev_cell": 4.576, "e_tot_ev_per_atom": -40.876}